Below is a geometry-optimized BiRhS2 structure, with properties calculated at the PBE level.

abc: 6.515 10.924 4.676
angles: 90.00 90.00 90.00
Positions (direct):
Rh  0.376  0.963  0.562
Rh  0.624  0.037  0.062
Rh  0.876  0.537  0.562
Rh  0.124  0.463  0.062
S  0.320  0.924  0.062
S  0.391  0.309  0.062
S  0.680  0.076  0.562
S  0.609  0.691  0.562
S  0.820  0.576  0.062
S  0.180  0.424  0.562
S  0.109  0.809  0.562
S  0.891  0.191  0.062
Bi  0.881  0.841  0.062
Bi  0.381  0.659  0.062
Bi  0.619  0.341  0.562
Bi  0.119  0.159  0.562

Results
DFT total energy: -5.10 eV per atom
density: 7.50 g/cm3
total magnetization: 0.0 μB per formula unit
formation energy from raw total energies: -231.4 meV/atom